# PBE MnFeRh5, optimized geometry
# - D(E_F): 1.632 states/eV per atom
# - ΔH_f (0 K): 0.15 eV/atom
# - Total DFT energy (no corrections): -7.618 eV/atom
data_MnFeRh5
_chemical_formula_sum 'Mn1 Fe1 Rh5'
_cell_length_a 3.891
_cell_length_b 3.891
_cell_length_c 6.718
_cell_angle_alpha 90.00
_cell_angle_beta 90.00
_cell_angle_gamma 90.00
_symmetry_space_group_name_H-M 'P 4/m m m'
_symmetry_Int_Tables_number 123
_symmetry_space_group_name_Hall '-P 4 2'
loop_
_atom_site_label
_atom_site_fract_x
_atom_site_fract_y
_atom_site_fract_z
Mn1 0.000 0.000 0.000
Fe1 0.500 0.500 0.500
Rh1 0.000 0.500 0.276
Rh2 0.500 0.500 0.000

=====

# PBE MnFeRh6, optimized geometry
# - D(E_F): 1.568 states/eV per atom
# - ΔH_f (0 K): -0.07 eV/atom
# - Total DFT energy (no corrections): -7.792 eV/atom
data_MnFeRh6
_chemical_formula_sum 'Mn1 Fe1 Rh6'
_cell_length_a 3.808
_cell_length_b 3.808
_cell_length_c 7.610
_cell_angle_alpha 90.00
_cell_angle_beta 90.00
_cell_angle_gamma 90.00
_symmetry_space_group_name_H-M 'P 4/m m m'
_symmetry_Int_Tables_number 123
_symmetry_space_group_name_Hall '-P 4 2'
loop_
_atom_site_label
_atom_site_fract_x
_atom_site_fract_y
_atom_site_fract_z
Mn1 0.000 0.000 0.000
Fe1 0.000 0.000 0.500
Rh1 0.000 0.500 0.251
Rh2 0.500 0.500 0.000
Rh3 0.500 0.500 0.500

=====

# PBE MnFeRh2, optimized geometry
# - D(E_F): 1.878 states/eV per atom
# - ΔH_f (0 K): 0.09 eV/atom
# - Total DFT energy (no corrections): -7.992 eV/atom
data_MnFeRh2
_chemical_formula_sum 'Mn3 Fe3 Rh6'
_cell_length_a 2.6612
_cell_length_b 2.6612
_cell_length_c 25.4543
_cell_angle_alpha 90.00
_cell_angle_beta 90.00
_cell_angle_gamma 120.00
_symmetry_space_group_name_H-M 'R 3 m'
_symmetry_Int_Tables_number 160
_symmetry_space_group_name_Hall 'R 3 -2"'
loop_
_atom_site_label
_atom_site_fract_x
_atom_site_fract_y
_atom_site_fract_z
Mn1 0.0000 0.0000 0.0000
Fe1 0.0000 0.0000 0.2552
Rh1 0.0000 0.0000 0.5059
Rh2 0.0000 0.0000 0.7478

=====

# PBE MnFeRh2, optimized geometry
# - D(E_F): 0.984 states/eV per atom
# - ΔH_f (0 K): 1.06 eV/atom
# - Total DFT energy (no corrections): -7.028 eV/atom
data_MnFeRh2
_chemical_formula_sum 'Mn4 Fe4 Rh8'
_cell_length_a 5.232
_cell_length_b 5.232
_cell_length_c 10.382
_cell_angle_alpha 90.00
_cell_angle_beta 90.00
_cell_angle_gamma 90.00
_symmetry_space_group_name_H-M 'I -4 2 d'
_symmetry_Int_Tables_number 122
_symmetry_space_group_name_Hall 'I -4 2bw'
loop_
_atom_site_label
_atom_site_fract_x
_atom_site_fract_y
_atom_site_fract_z
Mn1 0.000 0.000 0.000
Fe1 0.000 0.000 0.500
Rh1 0.249 0.250 0.625